Model A:
VASP calculation (PBE-GGA) on an optimized crystal structure of Cs3PtI6.

The structure in POSCAR format:
```
Cs3PtI6
1.0
-4.5092 4.5092 6.2910
4.5092 -4.5092 6.2910
4.5092 4.5092 -6.2910
Cs Pt I
3 1 6
Cartesian
0.0000 0.0000 0.0000 Cs
4.5092 0.0000 3.1455 Cs
0.0000 4.5092 3.1455 Cs
0.0000 0.0000 6.2910 Pt
2.5369 2.5369 0.0000 I
1.9723 -1.9723 6.2910 I
0.0000 0.0000 3.5794 I
0.0000 0.0000 9.0027 I
-1.9723 1.9723 6.2910 I
1.9723 1.9723 6.2910 I
```

As for the space group: No. 139. As for the volume: 51.2 Å³ per atom.

***

Model B:
VASP calculation (PBE-GGA) on an optimized crystal structure of Cs3PtI6.

The structure in POSCAR format:
```
Cs3PtI6
1.0
6.5504 3.7819 6.0966
-6.5504 3.7819 6.0966
0.0000 -7.5638 6.0966
Cs Pt I
6 2 12
Cartesian
-0.0655 -2.9192 4.8931 Cs
-2.4953 1.5164 4.8931 Cs
-2.5609 -1.4028 13.3967 Cs
2.5609 1.4028 4.8931 Cs
2.4953 -1.5164 13.3966 Cs
0.0655 2.9192 13.3966 Cs
0.0000 0.0000 0.0000 Pt
0.0000 0.0000 9.1449 Pt
-4.6314 -2.6641 10.4945 I
-0.0085 -5.3430 7.7952 I
-4.6229 2.6789 7.7952 I
-2.0296 -1.1366 7.5605 I
-0.0305 -2.3260 10.7292 I
-1.9991 1.1894 10.7292 I
1.9991 -1.1894 7.5605 I
0.0305 2.3260 7.5605 I
2.0296 1.1366 10.7292 I
4.6229 -2.6789 10.4945 I
0.0085 5.3430 10.4945 I
4.6314 2.6641 7.7952 I
```

As for the space group: No. 148. As for the volume: 45.3 Å³ per atom.

***

Most stable structure: model B